# 1
Te2HPbS6, optimized geometry, DFT PBE; crystal system = monoclinic; D(E_F) = 4.53 states/eV/f.u.; DFT total energy = -3.7211 eV per atom
1.0
6.451 -6.918 0.000
6.451 6.918 0.000
-4.033 0.000 6.684
Te H Pb S
4 2 2 12
Cartesian
0.717 0.739 1.095
-1.299 -0.739 4.437
10.168 0.739 2.247
8.152 -0.739 5.589
3.426 3.018 5.013
5.443 -3.018 1.671
5.443 0.906 1.671
3.426 -0.906 5.013
-1.307 1.115 5.876
0.710 -1.115 2.534
3.932 2.879 3.467
2.809 1.198 3.105
2.921 2.879 6.559
0.792 -1.198 6.447
8.077 1.198 0.237
5.948 -2.879 0.125
6.060 -1.198 3.579
4.938 -2.879 3.217
8.160 1.115 4.151
10.176 -1.115 0.809

# 2
TbPm3Y6, optimized geometry, DFT PBE; crystal system = orthorhombic; D(E_F) = 14.08 states/eV/f.u.; energy of formation from the pure elements = 0.14 eV per atom; DFT total energy = -5.6247 eV per atom
1.0
5.485 -9.459 0.000
5.485 9.459 0.000
0.000 0.000 6.416
Tb Pm Y
2 6 12
Cartesian
5.485 5.779 3.208
5.485 -5.779 0.000
1.947 2.150 2.060
1.947 -2.150 5.268
5.485 2.137 2.763
5.485 -2.137 5.971
9.023 2.150 2.060
9.023 -2.150 5.268
5.485 8.695 1.459
2.879 3.941 4.697
5.485 4.372 0.125
3.654 0.837 5.848
3.654 -0.837 2.639
2.879 -3.941 1.489
8.091 3.941 4.697
7.315 0.837 5.848
7.315 -0.837 2.639
5.485 -4.372 3.333
8.091 -3.941 1.489
5.485 -8.695 4.667

# 3
YCdAs2, optimized geometry, DFT PBE; crystal system = tetragonal; D(E_F) = 1.63 states/eV/f.u.; energy of formation from the pure elements = -0.59 eV per atom; DFT total energy = -4.7643 eV per atom
1.0
4.734 0.000 0.000
0.000 4.734 0.000
0.000 0.000 3.849
Y Cd As
1 1 2
Cartesian
0.000 0.000 0.000
2.367 2.367 0.000
0.000 2.367 1.924
2.367 0.000 1.924

# 4
La2ZnPb, optimized geometry, DFT PBE; crystal system = trigonal; D(E_F) = 2.71 states/eV/f.u.; energy of formation from the pure elements = -0.16 eV per atom; DFT total energy = -3.8732 eV per atom
1.0
4.512 0.000 0.000
-2.256 3.907 0.000
0.000 0.000 22.963
La Zn Pb
6 3 3
Cartesian
0.000 0.000 0.000
0.000 0.000 4.524
0.000 2.605 15.309
0.000 2.605 19.833
2.256 1.302 7.654
2.256 1.302 12.178
0.000 0.000 10.515
0.000 2.605 2.860
2.256 1.302 18.169
0.000 0.000 17.318
0.000 2.605 9.663
2.256 1.302 2.009

# 5
Ta5Os, optimized geometry, DFT PBE; crystal system = hexagonal; D(E_F) = 9.19 states/eV/f.u.; energy of formation from the pure elements = 0.19 eV per atom; DFT total energy = -11.5621 eV per atom
1.0
4.943 0.000 0.000
-2.471 4.280 0.000
0.000 0.000 5.072
Ta Os
5 1
Cartesian
-1.657 2.870 0.000
0.814 1.410 0.000
0.000 2.854 2.536
2.471 1.427 2.536
3.315 0.000 0.000
0.000 0.000 2.536

# 6
La4Pr5Mg2, optimized geometry, DFT PBE; crystal system = monoclinic; D(E_F) = 15.33 states/eV/f.u.; energy of formation from the pure elements = 0.05 eV per atom; DFT total energy = -4.2063 eV per atom
1.0
9.009 0.000 0.000
0.000 3.571 0.000
-0.924 0.000 11.800
La Pr Mg
4 5 2
Cartesian
0.965 0.000 4.528
1.647 0.000 11.244
6.439 0.000 0.557
7.120 0.000 7.272
1.222 1.785 7.891
3.681 1.785 2.416
4.043 1.785 5.900
4.404 1.785 9.384
6.863 1.785 3.909
0.351 1.785 1.538
7.734 1.785 10.262

# 7
BaSbIr3, optimized geometry, DFT PBE; crystal system = cubic; D(E_F) = 2.78 states/eV/f.u.; formation energy from raw total energies = 71.5 kJ/mol of atoms; DFT total energy = -5.7847 eV per atom
1.0
4.995 0.000 0.000
0.000 4.995 0.000
0.000 0.000 4.995
Ba Sb Ir
1 1 3
Cartesian
0.000 0.000 0.000
2.497 2.497 2.497
0.000 2.497 2.497
2.497 0.000 2.497
2.497 2.497 0.000

# 8
HoSi, optimized geometry, DFT PBE; crystal system = orthorhombic; D(E_F) = 1.19 states/eV/f.u.; formation energy from raw total energies = -80.0 kJ/mol of atoms; DFT total energy = -5.8293 eV per atom
1.0
4.256 0.000 0.000
0.000 10.486 0.000
0.000 0.000 3.821
Ho Si
4 4
Cartesian
0.000 1.470 0.955
0.000 9.016 2.866
2.128 3.773 2.866
2.128 6.714 0.955
0.000 4.439 0.955
0.000 6.048 2.866
2.128 0.805 2.866
2.128 9.682 0.955

# 9
Co4Ni3Ir12, optimized geometry, DFT PBE; crystal system = cubic; D(E_F) = 26.15 states/eV/f.u.; energy of formation from the pure elements = 0.70 eV per atom; DFT total energy = -7.3069 eV per atom
1.0
-4.504 4.504 4.504
4.504 -4.504 4.504
4.504 4.504 -4.504
Co Ni Ir
4 3 12
Cartesian
2.252 2.252 -2.252
2.252 -2.252 2.252
-2.252 2.252 2.252
2.252 2.252 2.252
4.504 0.000 0.000
0.000 4.504 0.000
0.000 0.000 4.504
4.504 2.063 -1.265
3.239 0.000 2.441
5.769 0.000 2.441
2.441 3.239 0.000
2.063 -1.265 4.504
4.504 2.063 1.265
0.000 2.441 3.239
2.441 5.769 0.000
2.063 1.265 4.504
-1.265 4.504 2.063
1.265 4.504 2.063
0.000 2.441 5.769

# 10
SrH10S2O8, optimized geometry, DFT PBE; crystal system = monoclinic; D(E_F) = 0.00 states/eV/f.u.; DFT total energy = -5.2108 eV per atom
1.0
10.397 -4.062 0.000
10.397 4.062 0.000
-2.773 0.000 10.332
Sr H S O
4 40 8 32
Cartesian
4.069 1.441 1.945
2.682 -1.441 7.111
15.339 1.441 3.222
13.953 -1.441 8.388
6.754 2.901 2.767
2.114 1.055 5.342
9.999 3.345 1.325
0.915 0.128 4.807
9.409 3.345 3.841
7.883 3.246 9.158
8.752 3.246 6.340
1.239 0.495 8.957
-0.472 -0.128 9.973
6.584 1.515 8.130
2.626 -0.495 3.791
7.866 1.479 4.256
6.228 1.375 9.651
8.344 1.316 2.764
12.654 2.901 2.399
3.501 -1.055 0.175
11.543 1.479 0.910
10.051 1.515 7.368
11.064 1.316 2.402
10.407 1.375 5.848
7.615 -1.375 4.485
6.957 -1.316 7.930
7.971 -1.515 2.964
6.479 -1.479 9.422
14.521 1.055 10.157
5.367 -2.901 7.933
9.678 -1.316 7.568
11.794 -1.375 0.682
10.156 -1.479 6.076
15.396 0.495 6.541
11.437 -1.515 2.202
18.493 0.128 0.360
16.783 -0.495 1.375
9.269 -3.246 3.992
10.139 -3.246 1.174
8.613 -3.345 6.491
17.107 -0.128 5.526
8.022 -3.345 9.007
15.907 -1.055 4.991
11.268 -2.901 7.565
5.272 0.296 5.658
6.659 -0.296 0.492
7.222 0.296 6.211
8.609 -0.296 1.044
9.413 0.296 9.288
10.799 -0.296 4.122
11.363 0.296 9.841
12.749 -0.296 4.674
-0.462 0.095 4.022
-1.849 -0.095 9.188
1.631 0.762 8.070
1.870 0.115 5.156
5.100 1.249 4.533
6.235 2.023 8.905
6.268 1.079 0.092
0.483 -0.115 10.323
8.129 1.993 3.453
4.438 0.675 6.837
3.018 -0.762 2.904
11.280 1.993 1.713
10.400 2.023 6.594
5.825 -0.675 1.671
4.881 -1.079 5.258
3.714 -1.249 9.699
14.308 1.249 0.633
13.141 1.079 5.074
12.197 0.675 8.661
7.622 -2.023 3.738
6.742 -1.993 8.619
15.003 0.762 7.428
13.583 -0.675 3.495
9.893 -1.993 6.879
17.538 0.115 0.010
11.754 -1.079 10.240
11.787 -2.023 1.428
12.921 -1.249 5.800
16.152 -0.115 5.176
16.390 -0.762 2.262
19.870 0.095 1.144
18.484 -0.095 6.311

# 11
ThSi2PdRh5, optimized geometry, DFT PBE; crystal system = tetragonal; D(E_F) = 7.98 states/eV/f.u.; formation energy from raw total energies = -45.1 kJ/mol of atoms; DFT total energy = -7.1582 eV per atom
1.0
4.512 0.000 0.000
0.000 4.512 0.000
0.000 0.000 7.336
Th Si Pd Rh
1 2 1 5
Cartesian
0.000 0.000 0.000
2.256 2.256 2.458
2.256 2.256 4.878
0.000 0.000 3.668
0.000 2.256 1.990
0.000 2.256 5.346
2.256 0.000 1.990
2.256 0.000 5.346
2.256 2.256 0.000

# 12
NaTlSnBr4, optimized geometry, DFT PBE; crystal system = monoclinic; D(E_F) = 0.00 states/eV/f.u.; formation energy from raw total energies = -93.2 kJ/mol of atoms; DFT total energy = -3.0197 eV per atom
1.0
8.177 0.000 0.000
0.000 8.302 0.000
-2.150 0.000 8.444
Na Tl Sn Br
2 2 2 8
Cartesian
1.296 2.076 1.386
4.731 6.227 7.058
1.707 6.227 3.963
4.320 2.076 4.480
0.533 6.227 8.247
5.494 2.076 0.197
0.169 6.227 1.049
-0.933 6.227 5.771
3.337 0.084 1.858
3.337 4.067 1.858
2.690 4.235 6.585
2.690 8.218 6.585
6.960 2.076 2.673
5.858 2.076 7.394

# 13
Rb2Hf3PbO8, optimized geometry, DFT PBE; crystal system = trigonal; D(E_F) = 0.00 states/eV/f.u.; formation energy from raw total energies = -263.7 kJ/mol of atoms; DFT total energy = -8.1026 eV per atom
1.0
3.248 1.875 6.886
-3.248 1.875 6.886
0.000 -3.750 6.886
Rb Hf Pb O
2 3 1 8
Cartesian
0.000 0.000 0.000
0.000 0.000 7.564
0.000 -1.910 11.071
-1.654 0.955 11.071
1.654 0.955 11.071
0.000 0.000 15.806
0.000 -1.659 5.199
-1.437 0.830 5.199
0.000 0.000 3.028
-1.507 -0.870 9.911
1.437 0.830 5.199
0.000 0.000 12.032
1.507 -0.870 9.911
0.000 1.740 9.911

# 14
GdMgTlCu, optimized geometry, DFT PBE; crystal system = cubic; D(E_F) = 2.56 states/eV/f.u.; energy of formation from the pure elements = -0.20 eV per atom; DFT total energy = -5.7307 eV per atom
1.0
7.088 0.000 0.000
0.000 7.088 0.000
0.000 0.000 7.088
Gd Mg Tl Cu
4 4 4 4
Cartesian
0.000 0.000 0.000
0.000 3.544 3.544
3.544 0.000 3.544
3.544 3.544 0.000
0.000 0.000 3.544
0.000 3.544 0.000
3.544 0.000 0.000
3.544 3.544 3.544
1.772 1.772 1.772
1.772 5.316 5.316
5.316 1.772 5.316
5.316 5.316 1.772
1.772 1.772 5.316
1.772 5.316 1.772
5.316 1.772 1.772
5.316 5.316 5.316

# 15
AcPm2Hg6, optimized geometry, DFT PBE; crystal system = hexagonal; D(E_F) = 7.06 states/eV/f.u.; energy of formation from the pure elements = -0.43 eV per atom; DFT total energy = -2.1391 eV per atom
1.0
8.769 0.000 0.000
-4.385 7.595 0.000
0.000 0.000 3.631
Ac Pm Hg
1 2 6
Cartesian
0.000 0.000 0.000
0.000 5.063 0.000
4.385 2.532 0.000
-1.479 2.562 1.816
-2.906 5.033 1.816
2.958 0.000 1.816
1.479 2.562 1.816
5.811 0.000 1.816
2.906 5.033 1.816

# 16
MgTe2Br, optimized geometry, DFT PBE; crystal system = tetragonal; D(E_F) = 2.58 states/eV/f.u.; formation energy from raw total energies = -25.1 kJ/mol of atoms; DFT total energy = -2.6475 eV per atom
1.0
4.243 0.000 0.000
0.000 4.243 0.000
0.000 0.000 13.556
Mg Te Br
2 4 2
Cartesian
0.000 0.000 0.000
2.122 2.122 6.778
0.000 2.122 3.389
0.000 2.122 10.167
2.122 0.000 3.389
2.122 0.000 10.167
0.000 0.000 6.778
2.122 2.122 0.000

# 17
Ca2FeW, optimized geometry, DFT PBE; crystal system = tetragonal; D(E_F) = 4.99 states/eV/f.u.; energy of formation from the pure elements = 1.05 eV per atom; DFT total energy = -5.3029 eV per atom
1.0
4.021 0.000 0.000
0.000 4.021 0.000
0.000 0.000 4.947
Ca Fe W
2 1 1
Cartesian
0.000 2.010 0.000
2.010 0.000 0.000
0.000 0.000 2.473
2.010 2.010 2.473

# 18
V2Co3Ir2, optimized geometry, DFT PBE; crystal system = monoclinic; D(E_F) = 9.10 states/eV/f.u.; energy of formation from the pure elements = -0.02 eV per atom; DFT total energy = -8.2070 eV per atom
1.0
4.231 0.000 0.000
0.000 9.893 0.000
-0.641 0.000 4.404
V Co Ir
4 6 4
Cartesian
0.039 1.389 2.125
-0.282 3.557 4.326
3.871 6.336 0.077
3.551 8.504 2.279
0.000 0.000 0.000
-0.321 4.946 2.202
1.760 5.487 1.045
1.439 9.353 3.247
2.150 0.540 1.157
1.829 4.406 3.358
1.157 6.767 3.123
1.478 8.072 0.921
2.111 1.821 3.482
2.432 3.126 1.280

# 19
MoSe3, optimized geometry, DFT PBE; crystal system = orthorhombic; D(E_F) = 2.65 states/eV/f.u.; formation energy from raw total energies = 56.1 kJ/mol of atoms; DFT total energy = -4.7394 eV per atom
1.0
5.061 0.000 0.000
0.000 8.669 0.000
0.000 0.000 3.516
Mo Se
2 6
Cartesian
0.000 0.000 0.000
2.531 4.335 0.000
0.000 4.335 0.000
1.265 2.167 1.758
1.265 6.502 1.758
2.531 0.000 0.000
3.796 2.167 1.758
3.796 6.502 1.758

# 20
Zr2ScTcO, optimized geometry, DFT PBE; crystal system = tetragonal; D(E_F) = 3.32 states/eV/f.u.; formation energy from raw total energies = -106.3 kJ/mol of atoms; DFT total energy = -8.8523 eV per atom
1.0
4.540 0.000 0.000
0.000 4.540 0.000
0.000 0.000 4.124
Zr Sc Tc O
2 1 1 1
Cartesian
0.000 2.270 0.000
2.270 0.000 0.000
0.000 0.000 2.062
2.270 2.270 2.062
0.000 0.000 0.000